{
  "formula": "HgAsBr",
  "functional": "GGA-PBE",
  "state": "optimized geometry",
  "magnetic_moment_mub_per_fu": 0.00,
  "raw_formation_energy_ev_per_atom": -0.0166,
  "n_ef_per_ev_cell": 0.5,
  "cell": [[-2.0127, 2.0127, 5.8951], [2.0127, -2.0127, 5.8951], [2.0127, 2.0127, -5.8951]],
  "species": ["Hg", "As", "Br"],
  "frac_coords": [[0.0000, 0.0000, 0.0000], [0.5125, 0.5125, 0.0000], [0.7176, 0.7176, 0.0000]]
}